Here is CsV2BiO6 after structural relaxation from Alexandria via LeMat-Bulk. Energies are from PBE+U.

Cell lengths 7.6942, 7.6942, 6.1290 Å; angles 99.06, 99.06, 88.29 degrees
Each line ends with the local moment (μB).
Element x y z (fractional)
1 O 0.3307 0.4487 0.3764  -0.02
2 O 0.3959 0.9267 0.7539  -0.05
3 Cs 0.1876 0.8124 0.2500  0.00
4 O 0.6041 0.0733 0.2461  -0.05
5 Bi 0.4056 0.5944 0.7500  0.04
6 O 0.0733 0.6041 0.7461  -0.05
7 V 0.8694 0.6990 0.6785  1.03
8 Cs 0.8124 0.1876 0.7500  0.00
9 O 0.1763 0.1586 0.0538  -0.04
10 Bi 0.5944 0.4056 0.2500  0.04
11 O 0.8237 0.8414 0.9462  -0.04
12 V 0.1306 0.3010 0.3215  1.03
13 O 0.4487 0.3307 0.8764  -0.02
14 O 0.6693 0.5513 0.6236  -0.02
15 O 0.8414 0.8237 0.4462  -0.04
16 V 0.3010 0.1306 0.8215  1.03
17 O 0.9267 0.3959 0.2539  -0.05
18 V 0.6990 0.8694 0.1785  1.03
19 O 0.1586 0.1763 0.5538  -0.04
20 O 0.5513 0.6693 0.1236  -0.02

The final energy is -134.03 eV per cell.